# Ba2CaMn

A geometry-optimized Ba2CaMn structure (PBE, Alexandria via LeMat-Bulk).

Unit cell a=4.169 b=4.169 c=9.868 alpha=90.00 beta=90.00 gamma=90.01
Each line ends with the local moment (μB).
Element x y z (fractional)
Ca1 0.500 0.500 0.250  -0.03
Ba1 0.000 0.000 0.948  -0.10
Ba2 0.000 0.000 0.552  -0.10
Mn1 0.500 0.500 0.750  3.99

Properties
- energy of formation (eV/atom) = 0.335
- polymorph energy (0 for the lowest one) (eV/atom) = 0.014